# Al2In2Pd (PBE, optimized geometry)
data_Al2In2Pd
_cell_length_a 6.675
_cell_length_b 6.675
_cell_length_c 4.585
_cell_angle_alpha 90.00
_cell_angle_beta 90.00
_cell_angle_gamma 90.00
_symmetry_space_group_name_H-M 'P 4/m b m'
_symmetry_Int_Tables_number 127
_symmetry_space_group_name_Hall '-P 4 2ab'
loop_
_atom_site_label
_atom_site_type_symbol
_atom_site_fract_x
_atom_site_fract_y
_atom_site_fract_z
Al1 Al 0.144 0.356 0.000
In1 In 0.172 0.672 0.500
Pd1 Pd 0.000 0.000 0.000
# Calculated total energy, eV per atom: -3.737
# Fermi-level density of states, states/eV per atom: 0.4130
# Formation energy from the elements, kcal/mol of atoms: -2.46



# Pm3USe6 (PBE, optimized geometry)
data_Pm3USe6
_cell_length_a 11.793
_cell_length_b 4.170
_cell_length_c 12.074
_cell_angle_alpha 90.00
_cell_angle_beta 108.53
_cell_angle_gamma 90.00
_symmetry_space_group_name_H-M 'P 1 21/m 1'
_symmetry_Int_Tables_number 11
_symmetry_space_group_name_Hall '-P 2yb'
loop_
_atom_site_label
_atom_site_type_symbol
_atom_site_fract_x
_atom_site_fract_y
_atom_site_fract_z
Pm1 Pm 0.075 0.250 0.167
Pm2 Pm 0.180 0.750 0.503
Pm3 Pm 0.341 0.250 0.920
U1 U 0.456 0.250 0.309
Se1 Se 0.018 0.250 0.383
Se2 Se 0.101 0.250 0.933
Se3 Se 0.253 0.750 0.280
Se4 Se 0.312 0.750 0.749
Se5 Se 0.391 0.250 0.537
Se6 Se 0.417 0.750 0.104
# Calculated total energy, eV per atom: -6.315
# Fermi-level density of states, states/eV per atom: 0.5168
# Uncorrected formation energy, kJ per mole of atoms: -161
# Distance to the lowest polymorph of the same formula, eV/f.u.: 0.00



# Ba2PrAs3Pd4 (PBE, optimized geometry)
data_Ba2PrAs3Pd4
_cell_length_a 4.506
_cell_length_b 4.506
_cell_length_c 11.536
_cell_angle_alpha 90.00
_cell_angle_beta 90.00
_cell_angle_gamma 90.00
_symmetry_space_group_name_H-M 'P -4 m 2'
_symmetry_Int_Tables_number 115
_symmetry_space_group_name_Hall 'P -4 -2'
loop_
_atom_site_label
_atom_site_type_symbol
_atom_site_fract_x
_atom_site_fract_y
_atom_site_fract_z
Ba1 Ba 0.000 0.500 0.222
Pr1 Pr 0.000 0.000 0.500
As1 As 0.000 0.500 0.884
As2 As 0.500 0.500 0.500
Pd1 Pd 0.000 0.000 0.000
Pd2 Pd 0.000 0.500 0.661
Pd3 Pd 0.500 0.500 0.000
# Calculated total energy, eV per atom: -5.137
# Fermi-level density of states, states/eV per atom: 0.6817
# Formation energy from the elements, kcal/mol of atoms: -18.51



# NdYO (PBE, optimized geometry)
data_NdYO
_cell_length_a 3.708
_cell_length_b 3.708
_cell_length_c 4.648
_cell_angle_alpha 90.00
_cell_angle_beta 90.00
_cell_angle_gamma 90.00
_symmetry_space_group_name_H-M 'P 4/m m m'
_symmetry_Int_Tables_number 123
_symmetry_space_group_name_Hall '-P 4 2'
loop_
_atom_site_label
_atom_site_type_symbol
_atom_site_fract_x
_atom_site_fract_y
_atom_site_fract_z
Nd1 Nd 0.000 0.000 0.000
Y1 Y 0.500 0.500 0.500
O1 O 0.500 0.500 0.000
# Calculated total energy, eV per atom: -7.271
# Fermi-level density of states, states/eV per atom: 0.8523
# Uncorrected formation energy, kJ per mole of atoms: -181
# Distance to the lowest polymorph of the same formula, eV/f.u.: 0.00



# TbH4Ir (PBE, optimized geometry)
data_TbH4Ir
_cell_length_a 3.866
_cell_length_b 4.562
_cell_length_c 6.637
_cell_angle_alpha 90.00
_cell_angle_beta 90.00
_cell_angle_gamma 90.00
_symmetry_space_group_name_H-M 'I m m m'
_symmetry_Int_Tables_number 71
_symmetry_space_group_name_Hall '-I 2 2'
loop_
_atom_site_label
_atom_site_type_symbol
_atom_site_fract_x
_atom_site_fract_y
_atom_site_fract_z
Tb1 Tb 0.000 0.000 0.000
H1 H 0.000 0.266 0.326
Ir1 Ir 0.000 0.000 0.500
# Calculated total energy, eV per atom: -4.969
# Fermi-level density of states, states/eV per atom: 0.0347



# PrTl2Sb (PBE, optimized geometry)
data_PrTl2Sb
_cell_length_a 3.6048
_cell_length_b 3.6048
_cell_length_c 34.8580
_cell_angle_alpha 90.00
_cell_angle_beta 90.00
_cell_angle_gamma 120.00
_symmetry_space_group_name_H-M 'R -3 m'
_symmetry_Int_Tables_number 166
_symmetry_space_group_name_Hall '-R 3 2"'
loop_
_atom_site_label
_atom_site_type_symbol
_atom_site_fract_x
_atom_site_fract_y
_atom_site_fract_z
Pr1 Pr 0.0000 0.0000 0.0000
Tl1 Tl 0.0000 0.0000 0.0933
Sb1 Sb 0.0000 0.0000 0.5000
# Calculated total energy, eV per atom: -3.293
# Fermi-level density of states, states/eV per atom: 0.9082
# Uncorrected formation energy, kJ per mole of atoms: 11
# Distance to the lowest polymorph of the same formula, eV/f.u.: 2.26



# Sr2Li2Ca (PBE, optimized geometry)
data_Sr2Li2Ca
_cell_length_a 4.032
_cell_length_b 4.032
_cell_length_c 24.027
_cell_angle_alpha 90.00
_cell_angle_beta 90.00
_cell_angle_gamma 90.00
_symmetry_space_group_name_H-M 'I 4/m m m'
_symmetry_Int_Tables_number 139
_symmetry_space_group_name_Hall '-I 4 2'
loop_
_atom_site_label
_atom_site_type_symbol
_atom_site_fract_x
_atom_site_fract_y
_atom_site_fract_z
Sr1 Sr 0.000 0.000 0.124
Li1 Li 0.000 0.500 0.250
Ca1 Ca 0.000 0.000 0.500
# Calculated total energy, eV per atom: -1.764
# Fermi-level density of states, states/eV per atom: 0.8683
# Formation energy from the elements, kcal/mol of atoms: 1.72
# Distance to the lowest polymorph of the same formula, eV/f.u.: 0.27



# HgSbSe2N (PBE, optimized geometry)
data_HgSbSe2N
_cell_length_a 5.427
_cell_length_b 5.427
_cell_length_c 3.994
_cell_angle_alpha 90.00
_cell_angle_beta 90.00
_cell_angle_gamma 90.00
_symmetry_space_group_name_H-M 'P 4/m m m'
_symmetry_Int_Tables_number 123
_symmetry_space_group_name_Hall '-P 4 2'
loop_
_atom_site_label
_atom_site_type_symbol
_atom_site_fract_x
_atom_site_fract_y
_atom_site_fract_z
Hg1 Hg 0.000 0.000 0.000
Sb1 Sb 0.500 0.500 0.500
Se1 Se 0.000 0.500 0.500
N1 N 0.500 0.500 0.000
# Calculated total energy, eV per atom: -3.191
# Fermi-level density of states, states/eV per atom: 0.9142
# Uncorrected formation energy, kJ per mole of atoms: 73
# Distance to the lowest polymorph of the same formula, eV/f.u.: 0.00



# FeRe2Rh (PBE, optimized geometry)
data_FeRe2Rh
_cell_length_a 2.7152
_cell_length_b 2.7152
_cell_length_c 26.0648
_cell_angle_alpha 90.00
_cell_angle_beta 90.00
_cell_angle_gamma 120.00
_symmetry_space_group_name_H-M 'R -3 m'
_symmetry_Int_Tables_number 166
_symmetry_space_group_name_Hall '-R 3 2"'
loop_
_atom_site_label
_atom_site_type_symbol
_atom_site_fract_x
_atom_site_fract_y
_atom_site_fract_z
Fe1 Fe 0.0000 0.0000 0.0000
Re1 Re 0.0000 0.0000 0.2532
Rh1 Rh 0.0000 0.0000 0.5000
# Calculated total energy, eV per atom: -10.122
# Fermi-level density of states, states/eV per atom: 0.6047
# Formation energy from the elements, kcal/mol of atoms: 1.28
# Distance to the lowest polymorph of the same formula, eV/f.u.: 0.26



# NaScSi (PBE, optimized geometry)
data_NaScSi
_cell_length_a 22.842
_cell_length_b 4.215
_cell_length_c 3.290
_cell_angle_alpha 90.00
_cell_angle_beta 97.92
_cell_angle_gamma 90.00
_symmetry_space_group_name_H-M 'C 1 m 1'
_symmetry_Int_Tables_number 8
_symmetry_space_group_name_Hall 'C -2y'
loop_
_atom_site_label
_atom_site_type_symbol
_atom_site_fract_x
_atom_site_fract_y
_atom_site_fract_z
Na1 Na 0.000 0.000 0.000
Na2 Na 0.129 0.500 0.630
Sc1 Sc 0.265 0.500 0.268
Sc2 Sc 0.362 0.000 0.865
Si1 Si 0.236 0.000 0.740
Si2 Si 0.387 0.500 0.389
# Calculated total energy, eV per atom: -4.614
# Fermi-level density of states, states/eV per atom: 0.3611
# Uncorrected formation energy, kJ per mole of atoms: -25



# Na3HoPu2S6 (PBE, optimized geometry)
data_Na3HoPu2S6
_cell_length_a 6.958
_cell_length_b 12.053
_cell_length_c 7.036
_cell_angle_alpha 90.00
_cell_angle_beta 109.26
_cell_angle_gamma 90.00
_symmetry_space_group_name_H-M 'C 1 2/m 1'
_symmetry_Int_Tables_number 12
_symmetry_space_group_name_Hall '-C 2y'
loop_
_atom_site_label
_atom_site_type_symbol
_atom_site_fract_x
_atom_site_fract_y
_atom_site_fract_z
Na1 Na 0.000 0.000 0.000
Na2 Na 0.000 0.333 0.000
Ho1 Ho 0.000 0.500 0.500
Pu1 Pu 0.000 0.167 0.500
S1 S 0.241 0.335 0.727
S2 S 0.245 0.000 0.726
# Calculated total energy, eV per atom: -6.802
# Fermi-level density of states, states/eV per atom: 1.4768
# Uncorrected formation energy, kJ per mole of atoms: -158